Material: Mn2NbAlSe
Method: DFT, PBE
State: relaxed

Structure (POSCAR):
```
Mn2NbAlSe
1.0
4.224 0.000 0.000
0.000 4.224 0.000
0.000 0.000 4.772
Mn Nb Al Se
2 1 1 1
Direct
0.000 0.500 0.000 Mn
0.500 0.000 0.000 Mn
0.000 0.000 0.500 Nb
0.500 0.500 0.500 Al
0.500 0.500 0.000 Se
```

The density of states at the Fermi level comes out at 10.13 states/eV per cell. The calculation puts the uncorrected formation energy at 0.9394 eV per atom.

=====

Material: KNi2MoAu
Method: DFT, PBE
State: relaxed

Structure (POSCAR):
```
KNi2MoAu
1.0
4.428 0.000 0.000
0.000 4.428 0.000
0.000 0.000 5.293
K Ni Mo Au
1 2 1 1
Direct
0.000 0.000 0.000 K
0.000 0.500 0.000 Ni
0.500 0.000 0.000 Ni
0.500 0.500 0.500 Mo
0.000 0.000 0.500 Au
```

The density of states at the Fermi level comes out at 4.28 states/eV per cell. The calculated formation energy comes out at 2.179 eV/atom.